Record 1
! KTl6Pd12, optimized geometry, DFT PBE; values from VASP
&SYSTEM
  ibrav = 0, nat = 19, ntyp = 3
/
ATOMIC_SPECIES
Pd 106.42 Pd.upf
Tl 204.38 Tl.upf
K 39.10 K.upf
CELL_PARAMETERS angstrom
-4.651 3.926 4.668
1.527 -6.529 3.724
6.604 3.901 0.011
ATOMIC_POSITIONS angstrom
Pd 3.709 4.695 2.762
Tl 1.847 3.722 4.446
Tl 3.802 2.033 2.371
Tl -0.322 -0.735 6.032
Pd -0.657 4.704 4.568
K 0.000 0.000 0.000
Pd 4.136 -3.407 3.836
Pd 2.514 -0.779 6.081
Tl 1.632 -2.425 3.958
Pd 3.742 1.743 5.183
Pd 2.459 -0.452 2.094
Pd 6.105 0.639 2.396
Tl 4.487 -0.745 4.043
Pd -0.263 -0.446 3.220
Tl -1.008 2.043 4.361
Pd -2.626 0.658 6.008
Pd 1.020 1.749 6.309
Pd -0.230 -3.397 5.642
Pd 0.965 2.077 2.322
! Formation energy from the elements ... -0.043 eV per atom

Record 2
! TaPSe2N, optimized geometry, DFT PBE; values from VASP
&SYSTEM
  ibrav = 0, nat = 5, ntyp = 4
/
ATOMIC_SPECIES
N 14.01 N.upf
P 30.97 P.upf
Se 78.96 Se.upf
Ta 180.95 Ta.upf
CELL_PARAMETERS angstrom
-4.371 1.858 -1.971
-2.095 -4.691 0.225
-1.289 0.747 3.563
ATOMIC_POSITIONS angstrom
N -0.645 0.373 1.781
P -3.878 -1.043 0.908
Se -1.047 -2.345 0.112
Ta 0.000 0.000 0.000
Se -2.186 0.929 -0.986
! Energy relative to the elements, uncorrected ... 0.397 eV per atom
! E above lowest polymorph ... 0.00 kJ/mol of atoms

Record 3
! Pu3Zn3Ga8, optimized geometry, DFT PBE; values from VASP
&SYSTEM
  ibrav = 0, nat = 14, ntyp = 3
/
ATOMIC_SPECIES
Zn 65.41 Zn.upf
Ga 69.72 Ga.upf
Pu 244.00 Pu.upf
CELL_PARAMETERS angstrom
-0.772 0.498 3.122
7.995 -3.936 4.301
1.164 9.817 0.418
ATOMIC_POSITIONS angstrom
Zn 2.024 8.085 0.907
Zn 7.135 -2.204 3.812
Ga 4.108 6.040 5.141
Ga 0.563 6.085 0.865
Pu 4.193 3.190 3.920
Ga 3.659 8.680 4.609
Ga 7.824 0.295 6.976
Pu 1.446 1.701 3.479
Zn -0.386 0.249 1.561
Ga 4.279 0.340 2.700
Ga 6.016 2.198 6.225
Ga 4.728 -2.300 3.232
Pu 6.940 4.679 4.362
Ga 2.370 4.182 1.615
! Formation energy from the elements ... -0.055 eV per atom

Record 4
! Ac4Sm2Tm, optimized geometry, DFT PBE; values from VASP
&SYSTEM
  ibrav = 0, nat = 14, ntyp = 3
/
ATOMIC_SPECIES
Ac 227.00 Ac.upf
Tm 168.93 Tm.upf
Sm 150.36 Sm.upf
CELL_PARAMETERS angstrom
6.588 2.262 -3.159
-1.118 6.875 -3.159
-0.021 -0.035 12.065
ATOMIC_POSITIONS angstrom
Ac -0.023 1.926 2.979
Ac 2.752 2.533 -0.149
Ac 0.020 2.096 8.988
Ac 2.657 6.747 -0.203
Tm 4.660 3.413 2.863
Ac 2.506 6.594 5.853
Ac 2.849 2.451 5.884
Sm 0.204 6.204 -2.968
Tm 2.744 4.584 -3.169
Sm -0.418 6.553 3.065
Ac 5.376 7.015 2.879
Ac 5.581 6.916 -3.153
Sm 2.006 4.843 2.691
Sm 5.237 2.885 8.724
! Formation energy from the elements ... 0.251 eV per atom

Record 5
! MnBe2Fe3, optimized geometry, DFT PBE; values from VASP
&SYSTEM
  ibrav = 0, nat = 6, ntyp = 3
/
ATOMIC_SPECIES
Fe 55.84 Fe.upf
Be 9.01 Be.upf
Mn 54.94 Mn.upf
CELL_PARAMETERS angstrom
2.498 0.000 0.000
0.000 2.498 0.000
0.000 0.000 9.479
ATOMIC_POSITIONS angstrom
Fe 0.000 0.000 2.988
Fe 0.000 0.000 0.000
Be 1.249 1.249 1.507
Be 1.249 1.249 7.973
Fe 0.000 0.000 6.492
Mn 1.249 1.249 4.740
! Formation energy from the elements ... -0.105 eV per atom

Record 6
! Nd3Sm2Dy4, optimized geometry, DFT PBE; values from VASP
&SYSTEM
  ibrav = 0, nat = 18, ntyp = 3
/
ATOMIC_SPECIES
Dy 162.50 Dy.upf
Nd 144.24 Nd.upf
Sm 150.36 Sm.upf
CELL_PARAMETERS angstrom
-2.630 -5.305 1.657
-1.849 -7.619 -8.230
6.552 -9.286 -0.232
ATOMIC_POSITIONS angstrom
Dy 0.096 -16.995 -5.576
Nd 1.602 -12.674 -1.824
Nd 0.035 -7.045 1.049
Dy 3.302 -14.718 -4.604
Dy -1.402 -7.197 -6.692
Dy 3.475 -15.013 -0.114
Dy 3.805 -11.143 0.346
Nd 2.037 -15.165 -7.855
Sm -1.575 -11.380 -2.723
Dy 1.976 -5.214 -1.230
Sm 3.647 -10.829 -4.083
Nd 3.222 -18.313 -4.646
Nd -1.150 -3.896 -2.159
Dy -1.230 -7.491 -2.202
Dy -1.732 -11.066 -7.152
Sm 0.370 -13.092 -5.122
Nd 0.470 -9.536 -4.982
Sm 1.702 -9.117 -1.684
! Formation energy from the elements ... 0.095 eV per atom

Record 7
! Dy5Mg4Zr, optimized geometry, DFT PBE; values from VASP
&SYSTEM
  ibrav = 0, nat = 10, ntyp = 3
/
ATOMIC_SPECIES
Zr 91.22 Zr.upf
Dy 162.50 Dy.upf
Mg 24.30 Mg.upf
CELL_PARAMETERS angstrom
3.563 0.000 0.000
0.000 3.563 0.000
0.000 0.000 21.515
ATOMIC_POSITIONS angstrom
Zr 0.000 0.000 0.000
Dy 1.782 1.782 19.326
Mg 0.000 0.000 8.691
Mg 0.000 0.000 12.824
Dy 1.782 1.782 2.189
Mg 0.000 0.000 17.054
Mg 0.000 0.000 4.461
Dy 1.782 1.782 14.895
Dy 1.782 1.782 10.757
Dy 1.782 1.782 6.619
! Formation energy from the elements ... -0.032 eV per atom

Record 8
! CsZrTa2, optimized geometry, DFT PBE; values from VASP
&SYSTEM
  ibrav = 0, nat = 4, ntyp = 3
/
ATOMIC_SPECIES
Cs 132.91 Cs.upf
Zr 91.22 Zr.upf
Ta 180.95 Ta.upf
CELL_PARAMETERS angstrom
0.000 3.571 3.571
3.571 0.000 3.571
3.571 3.571 0.000
ATOMIC_POSITIONS angstrom
Cs 3.571 3.571 3.571
Zr 0.000 0.000 0.000
Ta 5.356 5.356 5.356
Ta 1.785 1.785 1.785
! Formation energy from the elements ... 1.683 eV per atom
! E above lowest polymorph ... 0.00 kJ/mol of atoms

Record 9
! CdAgHg2, optimized geometry, DFT PBE; values from VASP
&SYSTEM
  ibrav = 0, nat = 8, ntyp = 3
/
ATOMIC_SPECIES
Hg 200.59 Hg.upf
Ag 107.87 Ag.upf
Cd 112.41 Cd.upf
CELL_PARAMETERS angstrom
4.342 0.000 0.000
0.000 4.342 0.000
2.171 2.171 10.179
ATOMIC_POSITIONS angstrom
Hg 1.120 3.256 2.545
Hg 3.256 3.291 7.634
Ag 2.171 2.171 0.000
Cd 4.342 2.171 5.089
Hg 3.222 1.085 2.545
Ag 2.171 4.342 5.089
Cd 0.000 0.000 0.000
Hg 5.427 5.393 7.634
! Formation energy from the elements ... 0.089 eV per atom

Record 10
! CaMg14Sb, optimized geometry, DFT PBE; values from VASP
&SYSTEM
  ibrav = 0, nat = 16, ntyp = 3
/
ATOMIC_SPECIES
Mg 24.30 Mg.upf
Sb 121.76 Sb.upf
Ca 40.08 Ca.upf
CELL_PARAMETERS angstrom
3.270 -5.665 0.000
3.270 5.665 0.000
0.000 0.000 10.402
ATOMIC_POSITIONS angstrom
Mg 1.678 -2.808 5.201
Mg 3.270 3.739 7.715
Mg 1.668 0.963 7.715
Mg 4.873 0.963 7.715
Mg 4.863 -2.808 5.201
Sb 0.000 0.000 5.201
Mg 3.270 -1.888 7.853
Mg 4.873 0.963 2.687
Mg 3.270 -1.888 2.549
Mg 1.668 0.963 2.687
Mg 1.683 2.805 0.000
Mg 3.270 3.739 2.687
Mg 3.270 0.055 0.000
Mg 4.858 2.805 0.000
Mg 3.270 -0.050 5.201
Ca 0.000 0.000 0.000
! Energy relative to the elements, uncorrected ... -0.030 eV per atom
! E above lowest polymorph ... 2.70 kJ/mol of atoms

Record 11
! Zr3TaCo8, optimized geometry, DFT PBE; values from VASP
&SYSTEM
  ibrav = 0, nat = 12, ntyp = 3
/
ATOMIC_SPECIES
Co 58.93 Co.upf
Ta 180.95 Ta.upf
Zr 91.22 Zr.upf
CELL_PARAMETERS angstrom
4.646 0.000 1.403
2.111 4.139 1.403
-0.006 -0.003 8.415
ATOMIC_POSITIONS angstrom
Co 5.285 1.824 7.683
Ta 5.910 3.620 5.611
Co 4.027 3.879 7.683
Co 5.263 1.808 3.538
Co 1.265 0.775 4.206
Zr 6.748 4.133 2.836
Zr 2.530 1.549 8.413
Zr 3.383 2.072 5.585
Co 6.333 3.879 8.379
Co 4.641 2.843 9.815
Co 2.951 1.808 2.840
Co 4.002 3.866 3.538
! Formation energy from the elements ... -0.275 eV per atom

Record 12
! RbAlIn2, optimized geometry, DFT PBE; values from VASP
&SYSTEM
  ibrav = 0, nat = 4, ntyp = 3
/
ATOMIC_SPECIES
Rb 85.47 Rb.upf
Al 26.98 Al.upf
In 114.82 In.upf
CELL_PARAMETERS angstrom
-1.530 3.549 -2.658
-1.975 -0.871 -4.164
-7.735 0.462 0.930
ATOMIC_POSITIONS angstrom
Rb -5.620 1.570 -2.946
Al 0.000 0.000 0.000
In -2.083 0.833 -1.828
In -9.156 2.308 -4.065
! Formation energy from the elements ... 0.023 eV per atom

Record 13
! YZnPb, optimized geometry, DFT PBE; values from VASP
&SYSTEM
  ibrav = 0, nat = 3, ntyp = 3
/
ATOMIC_SPECIES
Y 88.91 Y.upf
Pb 207.20 Pb.upf
Zn 65.41 Zn.upf
CELL_PARAMETERS angstrom
6.366 -0.024 0.000
4.373 4.627 0.000
-5.370 -2.301 2.530
ATOMIC_POSITIONS angstrom
Y 3.397 1.456 0.000
Pb 0.181 0.078 0.000
Zn 7.161 3.069 0.000
! Formation energy from the elements ... -0.223 eV per atom

Record 14
! SnS3Br3, optimized geometry, DFT PBE; values from VASP
&SYSTEM
  ibrav = 0, nat = 14, ntyp = 3
/
ATOMIC_SPECIES
S 32.06 S.upf
Br 79.90 Br.upf
Sn 118.71 Sn.upf
CELL_PARAMETERS angstrom
7.938 0.651 3.411
2.489 7.566 3.411
0.826 0.651 8.600
ATOMIC_POSITIONS angstrom
S 7.005 1.377 11.117
S 7.939 0.974 5.359
Br 6.773 4.558 4.497
Br 2.447 5.520 7.101
S 9.679 6.489 6.226
Br 8.806 3.349 8.321
S 1.574 2.380 9.196
Br 4.950 1.089 7.822
Br 4.480 4.310 10.925
Br 6.303 7.779 7.600
Sn 7.623 6.007 10.447
Sn 3.630 2.861 4.975
S 4.248 7.492 4.305
S 3.314 7.894 10.063
! Energy relative to the elements, uncorrected ... -0.141 eV per atom

Record 15
! Pr3AsO6, optimized geometry, DFT PBE; values from VASP
&SYSTEM
  ibrav = 0, nat = 20, ntyp = 3
/
ATOMIC_SPECIES
O 16.00 O.upf
Pr 140.91 Pr.upf
As 74.92 As.upf
CELL_PARAMETERS angstrom
-4.875 -3.516 1.343
0.532 -3.286 -6.671
4.294 -4.304 4.316
ATOMIC_POSITIONS angstrom
O 0.658 -6.105 2.671
Pr -1.818 -3.081 -1.010
O 3.120 -4.995 4.135
Pr 1.111 -7.688 -2.439
As -1.430 -5.350 -4.041
O 0.990 -3.777 -4.151
As 3.461 -4.256 2.455
O -2.764 -5.820 -5.259
O 2.119 -5.768 -1.396
O -2.468 -4.742 -2.666
O -1.031 -7.001 -3.367
Pr 0.603 -5.465 0.494
O -0.235 -7.549 -0.483
O 0.548 -3.297 -0.629
O 1.838 -3.489 2.119
O 3.274 -5.748 1.418
Pr -3.436 -5.061 2.054
Pr -0.507 -9.667 0.624
Pr -2.568 -7.024 -0.978
O -1.806 -5.078 0.284
! Energy relative to the elements, uncorrected ... -2.813 eV per atom

Record 16
! Nd6SiGe2I3, optimized geometry, DFT PBE; values from VASP
&SYSTEM
  ibrav = 0, nat = 12, ntyp = 4
/
ATOMIC_SPECIES
Nd 144.24 Nd.upf
I 126.90 I.upf
Ge 72.64 Ge.upf
Si 28.09 Si.upf
CELL_PARAMETERS angstrom
4.356 0.000 0.000
0.000 9.183 -0.018
-2.178 -3.001 9.473
ATOMIC_POSITIONS angstrom
Nd 2.178 4.020 3.353
Nd 0.000 2.162 6.101
Nd 2.178 4.238 9.266
I 2.178 4.592 -0.009
Nd 2.178 0.065 2.909
Ge 0.000 2.049 3.155
Ge 2.178 4.133 6.299
I 0.000 6.644 3.149
I 2.178 -0.461 6.305
Si 2.178 0.000 0.000
Nd 0.000 6.118 6.545
Nd 0.000 1.944 0.189
! Energy relative to the elements, uncorrected ... -1.003 eV per atom

Record 17
! PrSm2Pu3Te6, optimized geometry, DFT PBE; values from VASP
&SYSTEM
  ibrav = 0, nat = 12, ntyp = 4
/
ATOMIC_SPECIES
Te 127.60 Te.upf
Pu 244.00 Pu.upf
Pr 140.91 Pr.upf
Sm 150.36 Sm.upf
CELL_PARAMETERS angstrom
4.444 0.000 0.000
0.000 8.906 0.361
-2.222 -2.545 9.357
ATOMIC_POSITIONS angstrom
Te 0.000 2.278 0.097
Pu 2.222 -0.230 6.316
Te 2.222 4.083 9.621
Pu 2.222 4.453 0.181
Pr 2.222 0.000 0.000
Te 0.000 6.471 6.521
Sm 0.000 2.140 3.238
Te 0.000 1.991 6.389
Te 2.222 -0.110 3.198
Pu 0.000 6.591 3.402
Te 2.222 4.371 3.330
Sm 2.222 4.221 6.481
! Energy relative to the elements, uncorrected ... -1.261 eV per atom

Record 18
! La3S2Br, optimized geometry, DFT PBE; values from VASP
&SYSTEM
  ibrav = 0, nat = 6, ntyp = 3
/
ATOMIC_SPECIES
La 138.91 La.upf
S 32.06 S.upf
Br 79.90 Br.upf
CELL_PARAMETERS angstrom
4.153 0.000 0.000
-2.077 3.597 0.000
0.000 0.000 10.651
ATOMIC_POSITIONS angstrom
La 0.000 0.000 5.325
La 2.077 1.199 8.606
S 2.077 1.199 3.636
La 0.000 2.398 2.045
S 0.000 2.398 7.015
Br 0.000 0.000 0.000
! Energy relative to the elements, uncorrected ... -1.883 eV per atom

Record 19
! Tl4Se2Cl, optimized geometry, DFT PBE; values from VASP
&SYSTEM
  ibrav = 0, nat = 14, ntyp = 3
/
ATOMIC_SPECIES
Tl 204.38 Tl.upf
Se 78.96 Se.upf
Cl 35.45 Cl.upf
CELL_PARAMETERS angstrom
2.672 6.339 5.210
-2.430 -0.250 8.696
5.957 -1.976 6.496
ATOMIC_POSITIONS angstrom
Tl 4.541 0.078 8.367
Se 4.314 2.182 5.853
Tl 0.349 0.928 9.482
Tl 3.202 -0.271 12.981
Se 1.764 -1.113 7.596
Cl -1.215 -0.125 4.348
Tl 1.658 4.035 12.035
Tl 1.704 0.787 5.315
Cl 0.121 3.045 6.953
Se 0.000 0.000 0.000
Se 2.979 -0.988 3.248
Tl 4.495 3.326 15.087
Tl 2.997 4.385 7.421
Tl 5.850 3.185 10.920
! Energy relative to the elements, uncorrected ... -0.468 eV per atom
! E above lowest polymorph ... 2.59 kJ/mol of atoms

Record 20
! Pm2Ni6GeB, optimized geometry, DFT PBE; values from VASP
&SYSTEM
  ibrav = 0, nat = 10, ntyp = 4
/
ATOMIC_SPECIES
Ni 58.69 Ni.upf
B 10.81 B.upf
Pm 145.00 Pm.upf
Ge 72.64 Ge.upf
CELL_PARAMETERS angstrom
-3.413 3.318 -2.649
-4.899 -4.311 0.912
-5.896 0.690 2.855
ATOMIC_POSITIONS angstrom
Ni -9.566 -0.654 0.301
B -4.156 -0.497 -0.869
Pm -7.108 -1.887 1.191
Ni -2.372 -0.442 -0.093
Ni -10.004 -1.643 2.632
Ge 0.000 0.000 0.000
Pm -7.100 1.584 -0.074
Ni -4.204 1.339 -1.515
Ni -4.642 0.351 0.816
Ni -11.836 0.139 1.210
! Formation energy from the elements ... -0.446 eV per atom